(1)
Compound: IrRuSe2
Source: Alexandria via LeMat-Bulk
Functional: GGA-PBE
Structure: relaxed

abc: 2.9075 2.9075 10.0568
angles: 90.00 90.00 120.83
Fractional positions:
Ir 0.0000 0.0000 0.5115
Ru 0.5000 0.5000 0.7437
Se 0.0000 0.0000 0.9417
Se 0.5000 0.5000 0.3031

Calculated values
DOS at the Fermi energy ... 1.181 states/eV per atom
V ... 18.25 A^3/atom
Energy relative to the lowest polymorph listed for this composition ... 0.415 eV per atom
Calculated density ... 10.26 g/cm3
ΔE_f (raw) ... 464 meV/atom
VASP energy ... -23.25 eV for the cell shown



(2)
Compound: NaSr2Ca
Source: Alexandria via LeMat-Bulk
Functional: GGA-PBE
Structure: relaxed

abc: 4.1132 4.1132 13.3811
angles: 81.16 81.16 60.00
Fractional positions:
Na 0.6666 0.6666 0.0002
Sr 0.0827 0.0827 0.7519
Sr 0.2506 0.2506 0.2481
Ca 0.5000 0.5000 0.4999

Calculated values
DOS at the Fermi energy ... 0.924 states/eV per atom
V ... 48.24 A^3/atom
Energy relative to the lowest polymorph listed for this composition ... 0.028 eV per atom
Calculated density ... 2.05 g/cm3
VASP energy ... -6.50 eV for the cell shown



(3)
Compound: ThTeSO7
Source: Alexandria via LeMat-Bulk
Functional: GGA-PBE
Structure: relaxed

abc: 14.0387 5.6985 7.8578
angles: 69.51 90.00 90.00
Fractional positions:
Th 0.6333 0.5778 0.5876
Th 0.1333 0.9222 0.4124
Th 0.3667 0.4222 0.4124
Th 0.8667 0.0778 0.5876
Te 0.6255 0.2802 0.2661
Te 0.1255 0.2198 0.7339
Te 0.3745 0.7198 0.7339
Te 0.8745 0.7802 0.2661
S 0.6387 0.8856 0.8750
S 0.1387 0.6144 0.1250
S 0.3613 0.1144 0.1250
S 0.8613 0.3856 0.8750
O 0.5878 0.9560 0.4112
O 0.0878 0.5440 0.5888
O 0.4122 0.0440 0.5888
O 0.9122 0.4560 0.4112
O 0.6727 0.8117 0.0619
O 0.1727 0.6883 0.9381
O 0.3273 0.1883 0.9381
O 0.8273 0.3117 0.0619
O 0.6001 0.1437 0.8082
O 0.1001 0.3563 0.1918
O 0.3999 0.8563 0.1918
O 0.8999 0.6437 0.8082
O 0.5666 0.7024 0.8524
O 0.0666 0.7976 0.1476
O 0.4334 0.2976 0.1476
O 0.9334 0.2024 0.8524
O 0.7183 0.8633 0.7486
O 0.2183 0.6367 0.2514
O 0.2817 0.1367 0.2514
O 0.7817 0.3633 0.7486
O 0.5405 0.4566 0.3697
O 0.0405 0.0434 0.6303
O 0.4595 0.5434 0.6303
O 0.9595 0.9566 0.3697
O 0.7190 0.3306 0.4295
O 0.2190 0.1694 0.5705
O 0.2810 0.6694 0.5705
O 0.7810 0.8306 0.4295

Calculated values
DOS at the Fermi energy ... 0.000 states/eV per atom
V ... 14.72 A^3/atom
Calculated density ... 5.68 g/cm3
ΔE_f (raw) ... -2053 meV/atom
VASP energy ... -279.70 eV for the cell shown



(4)
Compound: Al2SbBr
Source: Alexandria via LeMat-Bulk
Functional: GGA-PBE
Structure: relaxed

abc: 9.8060 9.8060 9.8060
angles: 20.62 20.62 20.62
Fractional positions:
Sb 0.7252 0.7252 0.7252
Al 0.9876 0.9876 0.9876
Al 0.2572 0.2572 0.2572
Br 0.5300 0.5300 0.5300

Calculated values
DOS at the Fermi energy ... 0.444 states/eV per atom
V ... 25.60 A^3/atom
Energy relative to the lowest polymorph listed for this composition ... 0.000 eV per atom
Calculated density ... 4.15 g/cm3
ΔE_f (raw) ... -132 meV/atom
VASP energy ... -13.81 eV for the cell shown



(5)
Compound: LaHgTe2
Source: Alexandria via LeMat-Bulk
Functional: GGA-PBE
Structure: relaxed

abc: 4.2931 4.2931 6.6204
angles: 90.00 90.00 90.02
Fractional positions:
Hg 0.5000 0.5000 0.2500
La 0.5000 0.5000 0.7500
Te 0.0000 0.0000 0.9877
Te 0.0000 0.0000 0.5123

Calculated values
DOS at the Fermi energy ... 0.218 states/eV per atom
V ... 30.51 A^3/atom
Calculated density ... 8.09 g/cm3
ΔE_f (raw) ... -911 meV/atom
VASP energy ... -15.16 eV for the cell shown



(6)
Compound: SrPtW2
Source: Alexandria via LeMat-Bulk
Functional: GGA-PBE
Structure: relaxed

abc: 10.5310 10.5310 10.5310
angles: 15.78 15.78 15.78
Fractional positions:
Pt 0.2500 0.2500 0.2500
Sr 0.7500 0.7500 0.7500
W 0.9889 0.9889 0.9889
W 0.5111 0.5111 0.5111

Calculated values
DOS at the Fermi energy ... 1.378 states/eV per atom
V ... 18.83 A^3/atom
Energy relative to the lowest polymorph listed for this composition ... 0.496 eV per atom
Calculated density ... 14.34 g/cm3
VASP energy ... -30.34 eV for the cell shown



(7)
Compound: Sm2Be4AlIr3
Source: Alexandria via LeMat-Bulk
Functional: GGA-PBE
Structure: relaxed

abc: 3.8837 3.8837 10.2663
angles: 90.00 90.00 90.00
Fractional positions:
Sm 0.5000 0.0000 0.2403
Sm 0.0000 0.5000 0.7597
Be 0.5000 0.5000 0.0000
Be 0.0000 0.0000 0.0000
Be 0.5000 0.0000 0.6391
Be 0.0000 0.5000 0.3609
Al 0.5000 0.5000 0.5000
Ir 0.0000 0.0000 0.5000
Ir 0.5000 0.0000 0.8759
Ir 0.0000 0.5000 0.1241

Calculated values
DOS at the Fermi energy ... 0.307 states/eV per atom
V ... 15.48 A^3/atom
Calculated density ... 10.08 g/cm3
VASP energy ... -60.16 eV for the cell shown



(8)
Compound: CaTi2I
Source: Alexandria via LeMat-Bulk
Functional: GGA-PBE
Structure: relaxed

abc: 8.3225 8.3225 6.5844
angles: 50.80 50.80 90.00
Fractional positions:
I 0.0000 0.0000 0.0000
I 0.7500 0.2500 0.5000
Ca 0.5000 0.5000 0.0000
Ca 0.2500 0.7500 0.5000
Ti 0.6812 0.1250 0.2500
Ti 0.0688 0.6250 0.2500
Ti 0.3750 0.3188 0.7500
Ti 0.8750 0.9312 0.7500

Calculated values
DOS at the Fermi energy ... 1.857 states/eV per atom
V ... 25.57 A^3/atom
Energy relative to the lowest polymorph listed for this composition ... 0.000 eV per atom
Calculated density ... 4.27 g/cm3
ΔE_f (raw) ... 527 meV/atom
VASP energy ... -34.46 eV for the cell shown



(9)
Compound: PrPuSbO2
Source: Alexandria via LeMat-Bulk
Functional: GGA-PBE
Structure: relaxed

abc: 3.9620 3.9620 7.1891
angles: 106.00 106.00 90.00
Fractional positions:
Pr 0.8442 0.8442 0.6885
Pu 0.1592 0.1592 0.3183
Sb 0.5058 0.5058 0.0116
O 0.7454 0.2454 0.4908
O 0.2454 0.7454 0.4908

Calculated values
DOS at the Fermi energy ... 1.596 states/eV per atom
V ... 20.79 A^3/atom
Calculated density ... 8.61 g/cm3
ΔE_f (raw) ... -2403 meV/atom
VASP energy ... -45.16 eV for the cell shown



Repeat the second record exactly.
Compound: NaSr2Ca
Source: Alexandria via LeMat-Bulk
Functional: GGA-PBE
Structure: relaxed

abc: 4.1132 4.1132 13.3811
angles: 81.16 81.16 60.00
Fractional positions:
Na 0.6666 0.6666 0.0002
Sr 0.0827 0.0827 0.7519
Sr 0.2506 0.2506 0.2481
Ca 0.5000 0.5000 0.4999

Calculated values
DOS at the Fermi energy ... 0.924 states/eV per atom
V ... 48.24 A^3/atom
Energy relative to the lowest polymorph listed for this composition ... 0.028 eV per atom
Calculated density ... 2.05 g/cm3
VASP energy ... -6.50 eV for the cell shown